Material: V2CdInO8
Method: DFT, PBE+U
State: optimized geometry

extended XYZ file:
```
12
Lattice="-3.5248 3.5248 3.2413 3.5248 -3.5248 3.2413 3.5248 3.5248 -3.2413" Properties=species:S:1:pos:R:3 pbc="T T T"
V 0.0000 0.0000 0.0000
V 0.0000 3.5248 1.6206
Cd 0.0000 0.0000 3.2413
In 3.5248 0.0000 1.6206
O 3.5248 -2.1157 2.2106
O 3.5248 1.3351 -0.5064
O 1.4091 0.0000 1.0306
O 5.6406 0.0000 1.0306
O 1.3351 3.5248 0.5064
O 2.1897 0.0000 3.7477
O 3.5248 2.1157 2.2106
O 0.0000 2.1897 2.7348
```

The volume comes out at 161 Å³/cell. For the raw total energy, the calculation gives -6.294 eV/atom.